Record 1
{
  "formula": "CdSnH2",
  "functional": "GGA-PBE",
  "state": "optimized geometry",
  "m_tot_mub_per_cell": 0.00,
  "e_tot_ev_per_cell": -10.552,
  "dos_ef_per_ev_atom": 0.08,
  "lattice_angstrom": [[3.144, 0.000, 0.000], [0.000, 3.796, 0.000], [0.000, 0.000, 5.443]],
  "species": ["Cd", "Sn", "H", "H"],
  "frac_coords": [[0.000, 0.000, 0.000], [0.500, 0.000, 0.485], [0.000, 0.500, 0.981], [0.500, 0.500, 0.567]]
}

Record 2
{
  "formula": "Nb2CoGeH",
  "functional": "GGA-PBE",
  "state": "optimized geometry",
  "m_tot_mub_per_cell": 0.82,
  "e_tot_ev_per_cell": -36.183,
  "dos_ef_per_ev_atom": 0.66,
  "lattice_angstrom": [[4.091, 0.000, 0.000], [0.000, 4.091, 0.000], [0.000, 0.000, 3.815]],
  "species": ["Nb", "Nb", "Co", "Ge", "H"],
  "frac_coords": [[0.000, 0.500, 0.000], [0.500, 0.000, 0.000], [0.000, 0.000, 0.500], [0.500, 0.500, 0.500], [0.000, 0.000, 0.000]]
}

Record 3
{
  "formula": "Ga2AgWS",
  "functional": "GGA-PBE",
  "state": "optimized geometry",
  "m_tot_mub_per_cell": 0.00,
  "dos_ef_per_ev_atom": 0.76,
  "e_form_raw_mev_per_atom": 407,
  "lattice_angstrom": [[5.064, 0.000, 0.000], [0.000, 5.064, 0.000], [0.000, 0.000, 4.501]],
  "species": ["Ga", "Ga", "Ag", "W", "S"],
  "frac_coords": [[0.000, 0.500, 0.000], [0.500, 0.000, 0.000], [0.000, 0.000, 0.500], [0.500, 0.500, 0.000], [0.500, 0.500, 0.500]]
}

Record 4
{
  "formula": "KAuS4",
  "functional": "GGA-PBE",
  "state": "optimized geometry",
  "m_tot_mub_per_cell": 0.00,
  "dos_ef_per_ev_atom": 0.30,
  "e_form_raw_mev_per_atom": -214,
  "lattice_angstrom": [[4.903, -4.962, 0.000], [4.903, 4.962, 0.000], [-2.594, 0.000, 8.020]],
  "species": ["K", "K", "Au", "Au", "S", "S", "S", "S", "S", "S", "S", "S"],
  "frac_coords": [[0.250, 0.750, 0.750], [0.750, 0.250, 0.250], [0.250, 0.750, 0.250], [0.750, 0.250, 0.750], [0.022, 0.310, 0.635], [0.189, 0.478, 0.365], [0.310, 0.022, 0.135], [0.478, 0.189, 0.865], [0.522, 0.811, 0.135], [0.690, 0.978, 0.865], [0.811, 0.522, 0.635], [0.978, 0.690, 0.365]]
}